[1]
# Tb4Th (PBE, relaxed)
data_Tb4Th
_chemical_formula_sum 'Tb8 Th2'
_symmetry_space_group_name_H-M 'C m m m'
_symmetry_Int_Tables_number 65
_symmetry_space_group_name_Hall '-C 2 2'
_cell_length_a 5.3975
_cell_length_b 16.8480
_cell_length_c 3.5163
_cell_angle_alpha 90.00
_cell_angle_beta 90.00
_cell_angle_gamma 90.00
loop_
_atom_site_label
_atom_site_fract_x
_atom_site_fract_y
_atom_site_fract_z
Tb1 0.0000 0.1057 0.0000
Tb2 0.0000 0.3014 0.5000
Th1 0.0000 0.5000 0.5000
# Spin magnetization, μB/atom: 0.000
# Formation energy, eV/atom: 0.057
# ΔE to the lowest computed polymorph, meV/atom: 0.0
# E, eV/cell: -51.31

=====

[2]
# Be3Cu2Pt (PBE, relaxed)
data_Be3Cu2Pt
_chemical_formula_sum 'Be3 Cu2 Pt1'
_symmetry_space_group_name_H-M 'P 4/m m m'
_symmetry_Int_Tables_number 123
_symmetry_space_group_name_Hall '-P 4 2'
_cell_length_a 2.7814
_cell_length_b 2.7814
_cell_length_c 8.0572
_cell_angle_alpha 90.00
_cell_angle_beta 90.00
_cell_angle_gamma 90.00
loop_
_atom_site_label
_atom_site_fract_x
_atom_site_fract_y
_atom_site_fract_z
Be1 0.0000 0.0000 0.0000
Be2 0.0000 0.0000 0.3185
Cu1 0.5000 0.5000 0.1581
Pt1 0.5000 0.5000 0.5000
# Spin magnetization, μB/atom: 0.000
# Formation energy, eV/atom: -0.323
# E, eV/cell: -27.35

=====

[3]
# TbZr2NpAs4 (PBE, relaxed)
data_TbZr2NpAs4
_chemical_formula_sum 'Tb1 Zr2 Np1 As4'
_symmetry_space_group_name_H-M 'P 1 2/m 1'
_symmetry_Int_Tables_number 10
_symmetry_space_group_name_Hall '-P 2y'
_cell_length_a 6.8915
_cell_length_b 3.9748
_cell_length_c 6.9326
_cell_angle_alpha 90.00
_cell_angle_beta 109.24
_cell_angle_gamma 90.00
loop_
_atom_site_label
_atom_site_fract_x
_atom_site_fract_y
_atom_site_fract_z
Tb1 0.0000 0.0000 0.0000
Zr1 0.0000 0.5000 0.5000
Zr2 0.5000 0.0000 0.5000
Np1 0.5000 0.5000 0.0000
As1 0.2466 0.0000 0.7369
As2 0.2559 0.5000 0.2634
# Spin magnetization, μB/atom: 0.499
# Formation energy, eV/atom: -1.134
# E, eV/cell: -62.34